NaAcMg17: optimized geometry, PBE.

Properties
Symmetry = R3m
Formation enthalpy at 0 K = -0.01 eV per atom
Magnetization = 0.00 μB/cell

Unit cell a=7.9267 b=7.9267 c=7.9267 alpha=82.52 beta=82.52 gamma=82.52
Last column: nearest neighbours and their distance in Å.
Fractional positions:
Mg  0.1001  0.1001  0.1001  7 Mg 3.05-3.26
Mg  0.9911  0.9911  0.5066  10 Mg 3.00-3.26
Mg  0.0013  0.7006  0.2965  8 Mg 3.00-3.23
Mg  0.1629  0.6487  0.6487  9 Mg 3.02-3.35
Mg  0.2965  0.7006  0.0013  8 Mg 3.00-3.23
Mg  0.3476  0.3476  0.8521  9 Mg 3.02-3.25
Mg  0.3476  0.8521  0.3476  9 Mg 3.02-3.25
Mg  0.6487  0.6487  0.1629  9 Mg 3.02-3.35
Mg  0.9911  0.5066  0.9911  10 Mg 3.00-3.26
Mg  0.0013  0.2965  0.7006  8 Mg 3.00-3.23
Mg  0.5066  0.9911  0.9911  10 Mg 3.00-3.26
Mg  0.8521  0.3476  0.3476  9 Mg 3.02-3.25
Mg  0.2965  0.0013  0.7006  8 Mg 3.00-3.23
Mg  0.9020  0.9020  0.9020  7 Mg 3.05-3.35
Mg  0.7006  0.0013  0.2965  8 Mg 3.00-3.23
Mg  0.7006  0.2965  0.0013  8 Mg 3.00-3.23
Mg  0.6487  0.1629  0.6487  9 Mg 3.02-3.35
Ac  0.6640  0.6640  0.6640  19 Mg 3.67-4.01
Na  0.3407  0.3407  0.3407  16 Mg 3.67-4.07

NaAc2Mg: optimized geometry, PBE.

Properties
Symmetry = Fm-3m
Formation enthalpy at 0 K = 0.08 eV per atom
Magnetization = 0.00 μB/cell

Unit cell a=5.9491 b=5.9491 c=5.9491 alpha=60.00 beta=60.00 gamma=60.00
Last column: nearest neighbours and their distance in Å.
Fractional positions:
Na  0.5000  0.5000  0.5000  8 Ac 3.64
Ac  0.7500  0.7500  0.7500  4 Na 3.64, 4 Mg 3.64
Ac  0.2500  0.2500  0.2500  4 Na 3.64, 4 Mg 3.64
Mg  0.0000  0.0000  0.0000  8 Ac 3.64

Na2Ac2Mg15: optimized geometry, PBE.

Properties
Symmetry = R-3m
Formation enthalpy at 0 K = -0.04 eV per atom
Magnetization = 0.00 μB/cell

Unit cell a=7.9991 b=7.9991 c=7.9991 alpha=83.50 beta=83.50 gamma=83.50
Last column: nearest neighbours and their distance in Å.
Fractional positions:
Mg  0.6514  0.6514  0.1647  8 Mg 3.01-3.20
Mg  0.6897  0.3103  0.0000  8 Mg 3.05-3.31
Mg  0.3486  0.3486  0.8353  8 Mg 3.01-3.20
Mg  0.6897  0.0000  0.3103  8 Mg 3.05-3.31
Mg  0.6514  0.1647  0.6514  8 Mg 3.01-3.20
Mg  0.3103  0.6897  0.0000  8 Mg 3.05-3.31
Mg  0.0000  0.3103  0.6897  8 Mg 3.05-3.31
Mg  0.1647  0.6514  0.6514  8 Mg 3.01-3.20
Mg  0.3486  0.8353  0.3486  8 Mg 3.01-3.20
Mg  0.0000  0.6897  0.3103  8 Mg 3.05-3.31
Mg  0.8353  0.3486  0.3486  8 Mg 3.01-3.20
Mg  0.0000  0.0000  0.5000  8 Mg 3.05-3.12, 2 Na 3.26
Mg  0.5000  0.0000  0.0000  8 Mg 3.05-3.12, 2 Na 3.26
Mg  0.3103  0.0000  0.6897  8 Mg 3.05-3.31
Mg  0.0000  0.5000  0.0000  8 Mg 3.05-3.12, 2 Na 3.26
Na  0.9033  0.9033  0.9033  1 Na 2.97, 3 Mg 3.26
Na  0.0967  0.0967  0.0967  1 Na 2.97, 3 Mg 3.26
Ac  0.6606  0.6606  0.6606  18 Mg 3.68-4.06, 1 Na 3.72
Ac  0.3394  0.3394  0.3394  18 Mg 3.68-4.06, 1 Na 3.72

Na4AcMg: optimized geometry, PBE.

Properties
Symmetry = F-43m
Formation enthalpy at 0 K = 0.17 eV per atom
Magnetization = 0.00 μB/cell

Unit cell a=6.6018 b=6.6018 c=6.6018 alpha=60.00 beta=60.00 gamma=60.00
Last column: nearest neighbours and their distance in Å.
Fractional positions:
Na  0.6259  0.6259  0.6259  6 Na 3.28-3.32
Na  0.6259  0.6259  0.1223  6 Na 3.28-3.32
Na  0.6259  0.1223  0.6259  6 Na 3.28-3.32
Na  0.1224  0.6259  0.6259  6 Na 3.28-3.32
Ac  0.2500  0.2500  0.2500  12 Na 3.87, 4 Mg 4.04
Mg  0.0000  0.0000  0.0000  12 Na 3.87, 4 Ac 4.04

NaAcMg2: optimized geometry, PBE.

Properties
Symmetry = P4/mmm
Formation enthalpy at 0 K = 0.06 eV per atom
Magnetization = 0.15 μB/cell

Unit cell a=3.9465 b=3.9465 c=8.2242 alpha=90.00 beta=90.00 gamma=90.00
Last column: nearest neighbours and their distance in Å.
Fractional positions:
Mg  0.0000  0.0000  0.2241  4 Na 3.34, 4 Ac 3.60, 1 Mg 3.69
Mg  0.0000  0.0000  0.7759  4 Na 3.34, 4 Ac 3.60, 1 Mg 3.69
Na  0.5000  0.5000  0.0000  8 Mg 3.34
Ac  0.5000  0.5000  0.5000  8 Mg 3.60, 4 Ac 3.95

NaAcMg2: optimized geometry, PBE.

Properties
Symmetry = Fm-3m
Formation enthalpy at 0 K = 0.08 eV per atom
Magnetization = 0.00 μB/cell

Unit cell a=5.6647 b=5.6647 c=5.6647 alpha=60.00 beta=60.00 gamma=60.00
Last column: nearest neighbours and their distance in Å.
Fractional positions:
Mg  0.7500  0.7500  0.7500  4 Na 3.47, 4 Ac 3.47
Mg  0.2500  0.2500  0.2500  4 Ac 3.47, 4 Na 3.47
Na  0.5000  0.5000  0.5000  8 Mg 3.47
Ac  0.0000  0.0000  0.0000  8 Mg 3.47

NaAc2Mg: optimized geometry, PBE.

Properties
Symmetry = R-3m
Formation enthalpy at 0 K = 0.18 eV per atom
Magnetization = 0.00 μB/cell

Unit cell a=3.8188 b=3.8188 c=13.2712 alpha=81.73 beta=81.73 gamma=60.00
Last column: nearest neighbours and their distance in Å.
Fractional positions:
Ac  0.0963  0.0963  0.7110  3 Mg 3.53, 1 Na 3.78, 6 Ac 3.82
Ac  0.9037  0.9037  0.2890  3 Mg 3.53, 1 Na 3.78, 6 Ac 3.82
Na  0.0000  0.0000  0.0000  2 Ac 3.78, 6 Na 3.82
Mg  0.5000  0.5000  0.5000  6 Ac 3.53, 6 Mg 3.82

NaAc2Mg: optimized geometry, PBE.

Properties
Symmetry = P4/mmm
Formation enthalpy at 0 K = 0.05 eV per atom
Magnetization = 0.00 μB/cell

Unit cell a=4.1438 b=4.1438 c=8.8627 alpha=90.00 beta=90.00 gamma=90.00
Last column: nearest neighbours and their distance in Å.
Fractional positions:
Ac  0.0000  0.0000  0.7755  4 Mg 3.54, 4 Na 3.81
Ac  0.0000  0.0000  0.2245  4 Mg 3.54, 4 Na 3.81
Na  0.5000  0.5000  0.5000  8 Ac 3.81, 4 Na 4.14
Mg  0.5000  0.5000  0.0000  8 Ac 3.54

NaAcMg2: optimized geometry, PBE.

Properties
Symmetry = R-3m
Formation enthalpy at 0 K = 0.14 eV per atom
Magnetization = 0.00 μB/cell

Unit cell a=3.6708 b=3.6708 c=11.5860 alpha=80.89 beta=80.89 gamma=60.00
Last column: nearest neighbours and their distance in Å.
Fractional positions:
Ac  0.5000  0.5000  0.5000  6 Mg 3.62, 6 Ac 3.67
Mg  0.7475  0.7475  0.7576  3 Na 3.48, 3 Ac 3.62, 6 Mg 3.67
Mg  0.2525  0.2525  0.2424  3 Na 3.48, 3 Ac 3.62, 6 Mg 3.67
Na  0.0000  0.0000  0.0000  6 Mg 3.48, 6 Na 3.67

Na4Ac3MgO8: optimized geometry, PBE.

Properties
Symmetry = C2/m
Magnetization = 0.86 μB/cell
Uncorrected formation energy = -2.25 eV per atom

Unit cell a=7.1276 b=6.9503 c=7.4731 alpha=120.00 beta=118.48 gamma=90.00
Last column: nearest neighbours and their distance in Å.
Fractional positions:
O  0.2361  0.3069  0.0348  1 Mg 2.15
O  0.7639  0.6931  0.9652  1 Mg 2.15
O  0.2753  0.7685  0.5505  3 Na 2.43-2.55, 2 Ac 2.46
O  0.7247  0.2315  0.4495  3 Na 2.43-2.55, 2 Ac 2.46
O  0.2671  0.2726  0.5342  3 Ac 2.48-2.52, 2 Na 2.52
O  0.7329  0.7274  0.4658  3 Ac 2.48-2.52, 2 Na 2.52
O  0.2013  0.6931  0.9652  1 Mg 2.15
O  0.7987  0.3069  0.0348  1 Mg 2.15
Ac  0.0000  0.5000  0.5000  6 O 2.46-2.55
Ac  0.5000  0.5000  0.0000  6 O 2.49-2.52
Ac  0.5000  0.5000  0.5000  6 O 2.46-2.55
Na  0.5000  0.0000  0.0000  2 O 2.43
Na  0.0000  0.0000  0.5000  4 O 2.52-2.55
Na  0.5000  0.0000  0.5000  4 O 2.52-2.55
Na  0.0000  0.0000  0.0000  4 O 2.54
Mg  0.0000  0.5000  0.0000  4 O 2.15

NaAcMg2Pb2: optimized geometry, PBE.

Properties
Symmetry = P-3m1
Formation enthalpy at 0 K = -0.33 eV per atom
Magnetization = 0.00 μB/cell

Unit cell a=5.0283 b=5.0283 c=7.9069 alpha=90.00 beta=90.00 gamma=120.00
Last column: nearest neighbours and their distance in Å.
Fractional positions:
Pb  0.6667  0.3333  0.7504  4 Mg 2.99-3.26
Pb  0.3333  0.6667  0.2496  4 Mg 2.99-3.26
Ac  0.0000  0.0000  0.0000  6 Pb 3.51
Na  0.0000  0.0000  0.5000  6 Mg 3.17, 6 Pb 3.51
Mg  0.3333  0.6667  0.6617  4 Pb 2.99-3.26, 3 Na 3.17
Mg  0.6667  0.3333  0.3383  4 Pb 2.99-3.26, 3 Na 3.17

NaAcPrMg: optimized geometry, PBE.

Properties
Symmetry = F-43m
Formation enthalpy at 0 K = 0.11 eV per atom
Magnetization = 0.00 μB/cell

Unit cell a=5.8101 b=5.8101 c=5.8101 alpha=60.00 beta=60.00 gamma=60.00
Last column: nearest neighbours and their distance in Å.
Fractional positions:
Mg  0.5000  0.5000  0.5000  4 Pr 3.56, 4 Ac 3.56
Na  0.0000  0.0000  0.0000  4 Ac 3.56, 4 Pr 3.56
Ac  0.7500  0.7500  0.7500  4 Mg 3.56, 4 Na 3.56
Pr  0.2500  0.2500  0.2500  4 Na 3.56, 4 Mg 3.56

Question: magnetization of number 2 (NaAc2Mg)?
Answer: 0.00 μB/cell

Please write out number 12 again, unchanged.
NaAcPrMg: optimized geometry, PBE.

Properties
Symmetry = F-43m
Formation enthalpy at 0 K = 0.11 eV per atom
Magnetization = 0.00 μB/cell

Unit cell a=5.8101 b=5.8101 c=5.8101 alpha=60.00 beta=60.00 gamma=60.00
Last column: nearest neighbours and their distance in Å.
Fractional positions:
Mg  0.5000  0.5000  0.5000  4 Pr 3.56, 4 Ac 3.56
Na  0.0000  0.0000  0.0000  4 Ac 3.56, 4 Pr 3.56
Ac  0.7500  0.7500  0.7500  4 Mg 3.56, 4 Na 3.56
Pr  0.2500  0.2500  0.2500  4 Na 3.56, 4 Mg 3.56

Question: Which formula does entry 11 have?
Answer: NaAcMg2Pb2